a) The following is a PBE-GGA calculation of a relaxed HfB3S crystal, from the Alexandria database.

Results
**Volume**: 18.77 Å³ per atom
**Total moment**: 0.0 μB per cell

a = 4.544 Å, b = 4.544 Å, c = 4.544 Å
α = 90.00°, β = 90.00°, γ = 90.00°
Positions (direct):
Hf  0.000  0.000  0.000
S  0.500  0.500  0.500
B  0.000  0.500  0.000
B  0.500  0.000  0.000
B  0.000  0.000  0.500



b) The following is a PBE-GGA calculation of a relaxed HfB3S crystal, from the Alexandria database.

Results
**Volume**: 11.33 Å³ per atom
**Total moment**: 0.0 μB per cell

a = 3.841 Å, b = 3.841 Å, c = 3.841 Å
α = 90.00°, β = 90.00°, γ = 90.00°
Positions (direct):
B  0.000  0.500  0.000
S  0.000  0.000  0.000
B  0.500  0.000  0.000
Hf  0.500  0.500  0.500
B  0.000  0.000  0.500



Of all the structures shown, which is most stable? b), and a) is the least stable.